[1]
Crystalline TbPmInAu at its relaxed geometry. Source: the Alexandria database, functional PBE.

Cell lengths 3.6554, 3.6554, 7.8276 Å; angles 90.00, 90.00, 90.00 degrees
Last column: nearest neighbours and their distance in Å.
Fractional coordinates of all 4 atoms:
Tb1 0.0000 0.0000 0.0000  4 Au 3.06, 4 In 3.31
Pm1 0.0000 0.0000 0.4628  4 Au 3.26, 4 In 3.35, 1 Tb 3.62
In1 0.5000 0.5000 0.7359  4 Tb 3.31, 4 Pm 3.35, 4 In 3.66, 1 Au 3.71
Au1 0.5000 0.5000 0.2095  4 Tb 3.06, 4 Pm 3.26

Density of states at the Fermi level: 2.48 states/eV per cell
Uncorrected energy: -0.166 Ha/atom
Excess energy over the best structure of this formula in the dataset: 0 meV/atom
Size of the total moment: 0.000 μB per atom

[2]
Crystalline PmThInAu at its relaxed geometry. Source: the Alexandria database, functional PBE.

Cell lengths 7.5990, 7.5990, 7.5990 Å; angles 90.00, 90.00, 90.00 degrees
Last column: nearest neighbours and their distance in Å.
Fractional coordinates of all 16 atoms:
Pm1 0.0000 0.0000 0.0000  4 Au 3.29, 4 In 3.29
Pm2 0.0000 0.5000 0.5000  4 In 3.29, 4 Au 3.29
Pm3 0.5000 0.0000 0.5000  4 In 3.29, 4 Au 3.29
Pm4 0.5000 0.5000 0.0000  4 In 3.29, 4 Au 3.29
Th1 0.0000 0.0000 0.5000  4 In 3.29, 4 Au 3.29
Th2 0.0000 0.5000 0.0000  4 In 3.29, 4 Au 3.29
Th3 0.5000 0.0000 0.0000  4 In 3.29, 4 Au 3.29
Th4 0.5000 0.5000 0.5000  4 In 3.29, 4 Au 3.29
In1 0.2500 0.2500 0.7500  4 Th 3.29, 4 Pm 3.29
In2 0.2500 0.7500 0.2500  4 Th 3.29, 4 Pm 3.29
In3 0.7500 0.2500 0.2500  4 Th 3.29, 4 Pm 3.29
In4 0.7500 0.7500 0.7500  4 Th 3.29, 4 Pm 3.29
Au1 0.2500 0.2500 0.2500  4 Th 3.29, 4 Pm 3.29
Au2 0.2500 0.7500 0.7500  4 Th 3.29, 4 Pm 3.29
Au3 0.7500 0.2500 0.7500  4 Th 3.29, 4 Pm 3.29
Au4 0.7500 0.7500 0.2500  4 Th 3.29, 4 Pm 3.29

Density of states at the Fermi level: 14.48 states/eV per cell
Uncorrected energy: -0.183 Ha/atom
Size of the total moment: 0.232 μB per atom

[3]
Crystalline PmTlInAu at its relaxed geometry. Source: the Alexandria database, functional PBE.

Cell lengths 7.3479, 7.3479, 7.3479 Å; angles 90.00, 90.00, 90.00 degrees
Last column: nearest neighbours and their distance in Å.
Fractional coordinates of all 16 atoms:
Pm1 0.0000 0.0000 0.0000  4 Tl 3.18, 4 Au 3.18
Pm2 0.0000 0.5000 0.5000  4 Tl 3.18, 4 Au 3.18
Pm3 0.5000 0.0000 0.5000  4 Tl 3.18, 4 Au 3.18
Pm4 0.5000 0.5000 0.0000  4 Tl 3.18, 4 Au 3.18
Tl1 0.2500 0.2500 0.7500  4 In 3.18, 4 Pm 3.18
Tl2 0.2500 0.7500 0.2500  4 In 3.18, 4 Pm 3.18
Tl3 0.7500 0.2500 0.2500  4 In 3.18, 4 Pm 3.18
Tl4 0.7500 0.7500 0.7500  4 In 3.18, 4 Pm 3.18
In1 0.0000 0.0000 0.5000  4 Tl 3.18, 4 Au 3.18
In2 0.0000 0.5000 0.0000  4 Tl 3.18, 4 Au 3.18
In3 0.5000 0.0000 0.0000  4 Tl 3.18, 4 Au 3.18
In4 0.5000 0.5000 0.5000  4 Tl 3.18, 4 Au 3.18
Au1 0.2500 0.2500 0.2500  4 In 3.18, 4 Pm 3.18
Au2 0.2500 0.7500 0.7500  4 In 3.18, 4 Pm 3.18
Au3 0.7500 0.2500 0.7500  4 In 3.18, 4 Pm 3.18
Au4 0.7500 0.7500 0.2500  4 In 3.18, 4 Pm 3.18

Density of states at the Fermi level: 8.50 states/eV per cell
Uncorrected energy: -0.136 Ha/atom
Size of the total moment: 0.000 μB per atom

[4]
Crystalline Pm2Zn3InAu4 at its relaxed geometry. Source: the Alexandria database, functional PBE.

Cell lengths 4.2537, 4.2537, 11.7330 Å; angles 90.00, 90.00, 90.00 degrees
Last column: nearest neighbours and their distance in Å.
Fractional coordinates of all 10 atoms:
Pm1 0.0000 0.5000 0.2377  4 Zn 3.26, 8 Au 3.27-3.51
Pm2 0.5000 0.0000 0.7623  4 Zn 3.26, 8 Au 3.27-3.51
Zn1 0.0000 0.5000 0.8685  5 Au 2.52-2.63
Zn2 0.5000 0.0000 0.1315  5 Au 2.52-2.63
Zn3 0.5000 0.5000 0.5000  4 Au 2.79, 4 In 3.01
In1 0.0000 0.0000 0.5000  4 Au 2.79, 4 Zn 3.01
Au1 0.0000 0.0000 0.0000  4 Zn 2.63
Au2 0.0000 0.5000 0.6536  3 Zn 2.52-2.79, 2 In 2.79
Au3 0.5000 0.0000 0.3464  3 Zn 2.52-2.79, 2 In 2.79
Au4 0.5000 0.5000 0.0000  4 Zn 2.63

Density of states at the Fermi level: 4.72 states/eV per cell
Uncorrected energy: -0.126 Ha/atom
Size of the total moment: 0.000 μB per atom

> Among the records above, which one has the highest density of states at the Fermi level?

PmThInAu